# 1
Computed, not measured: a relaxed KLi2Be2 crystal at the PBEsol level of DFT.

Cell lengths 8.066, 8.066, 2.753 Å; angles 90.00, 90.00, 90.00 degrees
Space group P4/mbm (No. 127)
Asymmetric unit:
K  0.000  0.000  0.000
Li  0.178  0.322  0.500
Be  0.096  0.596  0.000

crystal system	tetragonal
energy of formation from the pure elements	558	meV/atom

=====

# 2
Computed, not measured: a relaxed BaRhC2I crystal at the PBEsol level of DFT.

Cell lengths 4.614, 4.614, 5.489 Å; angles 90.00, 90.00, 90.00 degrees
Space group P4/mmm (No. 123)
Asymmetric unit:
Ba  0.000  0.000  0.000
Rh  0.000  0.000  0.500
C  0.000  0.500  0.000
I  0.500  0.500  0.500

formation energy without anion corrections	2.925	eV per atom
crystal system	tetragonal

=====

# 3
Computed, not measured: a relaxed RbBP2Cl crystal at the PBEsol level of DFT.

Cell lengths 6.468, 6.468, 5.877 Å; angles 90.00, 90.00, 90.00 degrees
Space group P4/mmm (No. 123)
Asymmetric unit:
Rb  0.000  0.000  0.000
B  0.500  0.500  0.500
P  0.000  0.500  0.000
Cl  0.000  0.000  0.500

formation energy without anion corrections	2.207	eV per atom
crystal system	tetragonal

=====

# 4
Computed, not measured: a relaxed AgAsPt2 crystal at the PBEsol level of DFT.

Cell lengths 7.090, 7.090, 5.360 Å; angles 90.00, 90.00, 90.00 degrees
Space group I-42d (No. 122)
Asymmetric unit:
Ag  0.000  0.000  0.000
As  0.000  0.000  0.500
Pt  0.211  0.250  0.625

crystal system	tetragonal
energy of formation from the pure elements	20	meV/atom

=====

# 5
Computed, not measured: a relaxed RbW6O18 crystal at the PBEsol level of DFT.

Cell lengths 7.407, 7.611, 12.845 Å; angles 90.00, 90.00, 90.00 degrees
Space group Immm (No. 71)
Asymmetric unit:
Rb  0.000  0.000  0.000
W  0.000  0.250  0.500
W  0.250  0.250  0.250
O  0.000  0.000  0.500
O  0.000  0.235  0.213
O  0.000  0.500  0.500
O  0.180  0.252  0.393
O  0.237  0.500  0.248

formation energy without anion corrections	-2.182	eV per atom
crystal system	orthorhombic

=====

# 6
Computed, not measured: a relaxed La2CuRe crystal at the PBEsol level of DFT.

Cell lengths 7.909, 3.300, 7.502 Å; angles 90.00, 99.64, 90.00 degrees
Space group C2/m (No. 12)
Asymmetric unit:
La  0.248  0.000  0.231
Cu  0.000  0.000  0.500
Re  0.000  0.500  0.000

crystal system	monoclinic
energy of formation from the pure elements	497	meV/atom
relative energy among the computed polymorphs	284	meV per atom

=====

# 7
Computed, not measured: a relaxed LaZr2Cl crystal at the PBEsol level of DFT.

Cell lengths 5.884, 9.921, 3.196 Å; angles 90.00, 90.00, 90.00 degrees
Space group Cmmm (No. 65)
Asymmetric unit:
La  0.000  0.000  0.000
Zr  0.250  0.250  0.500
Cl  0.000  0.500  0.000

formation energy without anion corrections	0.071	eV per atom
crystal system	orthorhombic
relative energy among the computed polymorphs	304	meV per atom

=====

# 8
Computed, not measured: a relaxed IrPb2Se crystal at the PBEsol level of DFT.

Cell lengths 4.750, 4.750, 7.651 Å; angles 90.00, 90.00, 90.00 degrees
Space group I-4m2 (No. 119)
Asymmetric unit:
Ir  0.000  0.000  0.000
Pb  0.000  0.000  0.500
Pb  0.000  0.500  0.250
Se  0.000  0.500  0.750

formation energy without anion corrections	0.497	eV per atom
crystal system	tetragonal

=====

Sequential final energy output: -20.552, -16.715, -10.596, -89.055, -465.820, -52.742, -50.497, -39.367 eV for the cell shown